1.
The following is a meta-GGA SCAN calculation of Li2FeAg at its PBEsol-relaxed geometry, from the Alexandria database.

abc: 3.0376 4.2993 9.1477
angles: 90.00 90.00 90.00
Sites, in units of the cell vectors:
Li: 0.0000 0.0000 0.0000
Li: 0.0000 0.5000 0.2845
Li: 0.5000 0.0000 0.2845
Li: 0.5000 0.5000 0.0000
Fe: 0.0000 0.0000 0.5156
Fe: 0.5000 0.5000 0.5156
Ag: 0.0000 0.5000 0.7580
Ag: 0.5000 0.0000 0.7580

Calculated values
The total energy comes out at -13.39 eV per atom. Its total moment is 0.7218 μB/atom. Its energy of formation from the pure elements is 0.73 eV per formula unit.

---

2.
The following is a meta-GGA SCAN calculation of LiFe2Ag at its PBEsol-relaxed geometry, from the Alexandria database.

abc: 2.5437 4.1863 4.9081
angles: 90.00 90.00 90.00
Sites, in units of the cell vectors:
Li: 0.0000 0.0000 0.0000
Fe: 0.5000 0.5000 0.2416
Fe: 0.5000 0.5000 0.7584
Ag: 0.0000 0.0000 0.5000

Calculated values
The total energy comes out at -17.21 eV per atom. Its total moment is 1.4286 μB/atom. Its energy of formation from the pure elements is 1.16 eV per formula unit.

---

3.
The following is a meta-GGA SCAN calculation of LiFeAg2 at its PBEsol-relaxed geometry, from the Alexandria database.

abc: 5.9600 7.1711 2.7222
angles: 90.00 90.00 90.00
Sites, in units of the cell vectors:
Li: 0.0000 0.0000 0.0000
Li: 0.5000 0.5000 0.0000
Fe: 0.0000 0.5000 0.0000
Fe: 0.5000 0.0000 0.0000
Ag: 0.2500 0.2500 0.5000
Ag: 0.2500 0.7500 0.5000
Ag: 0.7500 0.2500 0.5000
Ag: 0.7500 0.7500 0.5000

Calculated values
The total energy comes out at -20.71 eV per atom. Its total moment is 0.7225 μB/atom. Its energy of formation from the pure elements is 0.42 eV per formula unit.

---

- Which of these has the highest total moment?
  LiFe2Ag

---

- The lowest energy of formation from the pure elements belongs to which entry?
  LiFeAg2

---

- Number 1 is which compound?
  Li2FeAg

---

- Among the records above, which one has the highest energy of formation from the pure elements?
  LiFe2Ag